[1]
The following is a GGA-PBE calculation of a relaxed Tc2AuBr crystal, from the Alexandria database.

Results
The value obtained for the total DFT energy (no corrections) is -24.2 eV/cell. The calculation puts the energy above the most stable polymorph in this dataset at 9.47 kJ/mol of atoms.

abc: 9.860 9.860 9.860
angles: 17.01 17.01 17.01
Fractional positions:
1 Tc 0.000 0.000 0.000
2 Tc 0.265 0.265 0.265
3 Au 0.750 0.750 0.750
4 Br 0.526 0.526 0.526


[2]
The following is a GGA-PBE calculation of a relaxed Na2SrLi2 crystal, from the Alexandria database.

Results
The value obtained for the total DFT energy (no corrections) is -15.6 eV/cell. The calculation puts the energy above the most stable polymorph in this dataset at 0.00 kJ/mol of atoms. The calculation puts the calculated formation energy at 0.066 eV/atom.

abc: 6.593 7.327 7.547
angles: 89.84 75.27 76.18
Fractional positions:
1 Na 0.197 0.308 0.253
2 Na 0.277 0.569 0.886
3 Na 0.723 0.431 0.114
4 Na 0.803 0.692 0.747
5 Sr 0.186 0.089 0.702
6 Sr 0.814 0.911 0.298
7 Li 0.311 0.641 0.451
8 Li 0.378 0.877 0.125
9 Li 0.622 0.123 0.875
10 Li 0.689 0.359 0.549


[3]
The following is a GGA-PBE calculation of a relaxed La4HgRhCl2 crystal, from the Alexandria database.

Results
The value obtained for the total DFT energy (no corrections) is -39.8 eV/cell.

abc: 7.645 4.254 7.673
angles: 90.00 108.86 90.00
Fractional positions:
1 La 0.225 0.000 0.228
2 La 0.242 0.500 0.782
3 La 0.758 0.500 0.218
4 La 0.775 0.000 0.772
5 Hg 0.000 0.000 0.500
6 Rh 0.000 0.500 0.000
7 Cl 0.500 0.000 0.000
8 Cl 0.500 0.500 0.500


[4]
The following is a GGA-PBE calculation of a relaxed AsPPb2 crystal, from the Alexandria database.

Results
The value obtained for the total DFT energy (no corrections) is -16.3 eV/cell. The calculation puts the energy above the most stable polymorph in this dataset at 15.42 kJ/mol of atoms. The calculation puts the calculated formation energy at 0.303 eV/atom.

abc: 3.633 3.586 7.493
angles: 90.00 90.66 90.00
Fractional positions:
1 As 0.000 0.000 0.000
2 P 0.000 0.000 0.500
3 Pb 0.498 0.500 0.736
4 Pb 0.502 0.500 0.264


Which value of total DFT energy (no corrections) does entry 3 give? -39.8 eV/cell


What is the total DFT energy (no corrections) in the third record? -39.8 eV/cell